# CaCe4 | Alexandria via LeMat-Bulk | PBE | optimized geometry
# DFT total energy: -4.11 eV/atom
data_CaCe4
_cell_length_a 5.622
_cell_length_b 5.622
_cell_length_c 5.622
_cell_angle_alpha 90.00
_cell_angle_beta 90.00
_cell_angle_gamma 90.00
_symmetry_space_group_name_H-M 'P m -3 m'
_symmetry_Int_Tables_number 221
_symmetry_space_group_name_Hall '-P 4 2 3'
loop_
_atom_site_label
_atom_site_type_symbol
_atom_site_fract_x
_atom_site_fract_y
_atom_site_fract_z
Ca1 Ca 0.000 0.000 0.000
Ce1 Ce 0.000 0.000 0.500
Ce2 Ce 0.500 0.500 0.500

---

# PuNpIrPd | Alexandria via LeMat-Bulk | PBE | optimized geometry
# DFT total energy: -10.64 eV/atom
data_PuNpIrPd
_cell_length_a 6.915
_cell_length_b 6.915
_cell_length_c 6.915
_cell_angle_alpha 90.00
_cell_angle_beta 90.00
_cell_angle_gamma 90.00
_symmetry_space_group_name_H-M 'F -4 3 m'
_symmetry_Int_Tables_number 216
_symmetry_space_group_name_Hall 'F -4 2 3'
loop_
_atom_site_label
_atom_site_type_symbol
_atom_site_fract_x
_atom_site_fract_y
_atom_site_fract_z
Pu1 Pu 0.000 0.000 0.000
Np1 Np 0.000 0.000 0.500
Ir1 Ir 0.250 0.250 0.750
Pd1 Pd 0.250 0.250 0.250

---

# PPbSe2 | Alexandria via LeMat-Bulk | PBE | optimized geometry
# Energy above the lowest structure with this stoichiometry: 180.8 meV/atom
data_PPbSe2
_cell_length_a 3.712
_cell_length_b 5.497
_cell_length_c 9.258
_cell_angle_alpha 90.00
_cell_angle_beta 90.00
_cell_angle_gamma 90.00
_symmetry_space_group_name_H-M 'I m m m'
_symmetry_Int_Tables_number 71
_symmetry_space_group_name_Hall '-I 2 2'
loop_
_atom_site_label
_atom_site_type_symbol
_atom_site_fract_x
_atom_site_fract_y
_atom_site_fract_z
P1 P 0.000 0.000 0.000
Pb1 Pb 0.000 0.000 0.500
Se1 Se 0.000 0.500 0.313

---

# TbPm3Ho3 | Alexandria via LeMat-Bulk | PBE | optimized geometry
# Energy above the lowest structure with this stoichiometry: 0.0 meV/atom
data_TbPm3Ho3
_cell_length_a 9.6229
_cell_length_b 9.6229
_cell_length_c 5.7405
_cell_angle_alpha 90.00
_cell_angle_beta 90.00
_cell_angle_gamma 120.00
_symmetry_space_group_name_H-M 'P 63/m'
_symmetry_Int_Tables_number 176
_symmetry_space_group_name_Hall '-P 6c'
loop_
_atom_site_label
_atom_site_type_symbol
_atom_site_fract_x
_atom_site_fract_y
_atom_site_fract_z
Tb1 Tb 0.3333 0.6667 0.2500
Pm1 Pm 0.0491 0.2417 0.2500
Ho1 Ho 0.0951 0.4781 0.7500

---

# Tc2Ru5Rh2 | Alexandria via LeMat-Bulk | PBE | optimized geometry
# DFT total energy: -9.05 eV/atom
data_Tc2Ru5Rh2
_cell_length_a 8.583
_cell_length_b 3.841
_cell_length_c 8.143
_cell_angle_alpha 90.00
_cell_angle_beta 108.73
_cell_angle_gamma 90.00
_symmetry_space_group_name_H-M 'C 1 2/m 1'
_symmetry_Int_Tables_number 12
loop_
_symmetry_equiv_pos_as_xyz
'x,y,z'
'-x,-y,-z'
'-x,y,-z'
'x,-y,z'
'x+1/2,y+1/2,z'
'-x+1/2,-y+1/2,-z'
'-x+1/2,y+1/2,-z'
'x+1/2,-y+1/2,z'
loop_
_atom_site_label
_atom_site_type_symbol
_atom_site_fract_x
_atom_site_fract_y
_atom_site_fract_z
Tc1 Tc 0.168 0.000 0.054
Ru1 Ru 0.000 0.500 0.167
Ru2 Ru 0.000 0.500 0.500
Ru3 Ru 0.165 0.000 0.726
Rh1 Rh 0.167 0.000 0.388

---

# Tm3Ni8Hg | Alexandria via LeMat-Bulk | PBE | optimized geometry
# DFT total energy: -5.43 eV/atom
data_Tm3Ni8Hg
_cell_length_a 4.9876
_cell_length_b 4.9876
_cell_length_c 24.5443
_cell_angle_alpha 90.00
_cell_angle_beta 90.00
_cell_angle_gamma 120.00
_symmetry_space_group_name_H-M 'R 3 m'
_symmetry_Int_Tables_number 160
_symmetry_space_group_name_Hall 'R 3 -2"'
loop_
_atom_site_label
_atom_site_type_symbol
_atom_site_fract_x
_atom_site_fract_y
_atom_site_fract_z
Tm1 Tm 0.0000 0.0000 0.0000
Tm2 Tm 0.0000 0.0000 0.1287
Tm3 Tm 0.0000 0.0000 0.6171
Ni1 Ni 0.0000 0.0000 0.3111
Ni2 Ni 0.0000 0.0000 0.8107
Ni3 Ni 0.0040 0.5020 0.5620
Ni4 Ni 0.1670 0.3340 0.3931
Hg1 Hg 0.0000 0.0000 0.4958

---

# NiBiPd6 | Alexandria via LeMat-Bulk | PBE | optimized geometry
# Energy above the lowest structure with this stoichiometry: 0.0 meV/atom
data_NiBiPd6
_cell_length_a 4.034
_cell_length_b 4.034
_cell_length_c 7.928
_cell_angle_alpha 90.00
_cell_angle_beta 90.00
_cell_angle_gamma 90.00
_symmetry_space_group_name_H-M 'P 4/m m m'
_symmetry_Int_Tables_number 123
_symmetry_space_group_name_Hall '-P 4 2'
loop_
_atom_site_label
_atom_site_type_symbol
_atom_site_fract_x
_atom_site_fract_y
_atom_site_fract_z
Ni1 Ni 0.000 0.000 0.000
Bi1 Bi 0.000 0.000 0.500
Pd1 Pd 0.000 0.500 0.232
Pd2 Pd 0.500 0.500 0.000
Pd3 Pd 0.500 0.500 0.500

---

# Al2PW | Alexandria via LeMat-Bulk | PBE | optimized geometry
# DFT total energy: -6.48 eV/atom
data_Al2PW
_cell_length_a 3.240
_cell_length_b 3.240
_cell_length_c 5.754
_cell_angle_alpha 90.00
_cell_angle_beta 90.00
_cell_angle_gamma 90.00
_symmetry_space_group_name_H-M 'P 4 m m'
_symmetry_Int_Tables_number 99
loop_
_symmetry_equiv_pos_as_xyz
'x,y,z'
'-y,x,z'
'-x,-y,z'
'y,-x,z'
'-x,y,z'
'y,x,z'
'x,-y,z'
'-y,-x,z'
loop_
_atom_site_label
_atom_site_type_symbol
_atom_site_fract_x
_atom_site_fract_y
_atom_site_fract_z
Al1 Al 0.000 0.000 0.000
Al2 Al 0.500 0.500 0.269
P1 P 0.000 0.000 0.544
W1 W 0.500 0.500 0.732

---

# Tb2PrErTe6 | Alexandria via LeMat-Bulk | PBE | optimized geometry
# DFT total energy: -5.11 eV/atom
data_Tb2PrErTe6
_cell_length_a 7.7826
_cell_length_b 7.7826
_cell_length_c 21.2085
_cell_angle_alpha 90.00
_cell_angle_beta 90.00
_cell_angle_gamma 120.00
_symmetry_space_group_name_H-M 'R 3'
_symmetry_Int_Tables_number 146
_symmetry_space_group_name_Hall 'R 3'
loop_
_atom_site_label
_atom_site_type_symbol
_atom_site_fract_x
_atom_site_fract_y
_atom_site_fract_z
Tb1 Tb 0.0000 0.0000 0.0000
Tb2 Tb 0.0000 0.0000 0.4973
Pr1 Pr 0.0000 0.0000 0.1886
Er1 Er 0.0000 0.0000 0.6849
Te1 Te 0.0141 0.7016 0.5922
Te2 Te 0.0164 0.3488 0.7568

---

# SmTm3Al8 | Alexandria via LeMat-Bulk | PBE | optimized geometry
# Energy above the lowest structure with this stoichiometry: 8.9 meV/atom
data_SmTm3Al8
_cell_length_a 5.5381
_cell_length_b 5.5381
_cell_length_c 9.0780
_cell_angle_alpha 90.00
_cell_angle_beta 90.00
_cell_angle_gamma 120.00
_symmetry_space_group_name_H-M 'P 3 m 1'
_symmetry_Int_Tables_number 156
loop_
_symmetry_equiv_pos_as_xyz
'x,y,z'
'-y,x-y,z'
'-x+y,-x,z'
'-y,-x,z'
'-x+y,y,z'
'x,x-y,z'
loop_
_atom_site_label
_atom_site_type_symbol
_atom_site_fract_x
_atom_site_fract_y
_atom_site_fract_z
Sm1 Sm 0.0000 0.0000 0.0000
Tm1 Tm 0.0000 0.0000 0.3649
Tm2 Tm 0.6667 0.3333 0.4985
Tm3 Tm 0.6667 0.3333 0.8631
Al1 Al 0.1621 0.3242 0.6800
Al2 Al 0.3333 0.6667 0.4335
Al3 Al 0.3333 0.6667 0.9308
Al4 Al 0.5045 0.0091 0.1851

---

# MoS | Alexandria via LeMat-Bulk | PBE | optimized geometry
# Energy above the lowest structure with this stoichiometry: 192.8 meV/atom
data_MoS
_cell_length_a 10.860
_cell_length_b 10.860
_cell_length_c 3.372
_cell_angle_alpha 90.00
_cell_angle_beta 90.00
_cell_angle_gamma 90.00
_symmetry_space_group_name_H-M 'P 4/m'
_symmetry_Int_Tables_number 83
loop_
_symmetry_equiv_pos_as_xyz
'x,y,z'
'-x,-y,-z'
'-y,x,z'
'y,-x,-z'
'-x,-y,z'
'x,y,-z'
'y,-x,z'
'-y,x,-z'
loop_
_atom_site_label
_atom_site_type_symbol
_atom_site_fract_x
_atom_site_fract_y
_atom_site_fract_z
Mo1 Mo 0.052 0.610 0.000
Mo2 Mo 0.077 0.256 0.500
S1 S 0.145 0.729 0.500
S2 S 0.161 0.391 0.000

---

# HPbSCl2 | Alexandria via LeMat-Bulk | PBE | optimized geometry
# Energy above the lowest structure with this stoichiometry: 298.5 meV/atom
data_HPbSCl2
_cell_length_a 5.513
_cell_length_b 5.513
_cell_length_c 5.552
_cell_angle_alpha 90.00
_cell_angle_beta 90.00
_cell_angle_gamma 90.00
_symmetry_space_group_name_H-M 'P 4/m m m'
_symmetry_Int_Tables_number 123
_symmetry_space_group_name_Hall '-P 4 2'
loop_
_atom_site_label
_atom_site_type_symbol
_atom_site_fract_x
_atom_site_fract_y
_atom_site_fract_z
H1 H 0.000 0.000 0.000
Pb1 Pb 0.500 0.500 0.500
S1 S 0.500 0.500 0.000
Cl1 Cl 0.000 0.500 0.500

---

# PmMgHg | Alexandria via LeMat-Bulk | PBE | optimized geometry
# Energy above the lowest structure with this stoichiometry: 145.0 meV/atom
data_PmMgHg
_cell_length_a 3.474
_cell_length_b 3.474
_cell_length_c 12.784
_cell_angle_alpha 90.00
_cell_angle_beta 90.00
_cell_angle_gamma 90.00
_symmetry_space_group_name_H-M 'I 4 m m'
_symmetry_Int_Tables_number 107
_symmetry_space_group_name_Hall 'I 4 -2'
loop_
_atom_site_label
_atom_site_type_symbol
_atom_site_fract_x
_atom_site_fract_y
_atom_site_fract_z
Pm1 Pm 0.000 0.000 0.000
Mg1 Mg 0.000 0.000 0.307
Hg1 Hg 0.000 0.000 0.670

---

# PrErTmZr | Alexandria via LeMat-Bulk | PBE | optimized geometry
# DFT total energy: -5.38 eV/atom
data_PrErTmZr
_cell_length_a 7.782
_cell_length_b 7.782
_cell_length_c 7.782
_cell_angle_alpha 90.00
_cell_angle_beta 90.00
_cell_angle_gamma 90.00
_symmetry_space_group_name_H-M 'F -4 3 m'
_symmetry_Int_Tables_number 216
_symmetry_space_group_name_Hall 'F -4 2 3'
loop_
_atom_site_label
_atom_site_type_symbol
_atom_site_fract_x
_atom_site_fract_y
_atom_site_fract_z
Pr1 Pr 0.000 0.000 0.000
Er1 Er 0.250 0.250 0.250
Tm1 Tm 0.250 0.250 0.750
Zr1 Zr 0.000 0.000 0.500

---

# CaMn2Pb | Alexandria via LeMat-Bulk | PBE | optimized geometry
# Energy above the lowest structure with this stoichiometry: 266.0 meV/atom
data_CaMn2Pb
_cell_length_a 4.675
_cell_length_b 4.675
_cell_length_c 7.914
_cell_angle_alpha 90.00
_cell_angle_beta 90.00
_cell_angle_gamma 90.00
_symmetry_space_group_name_H-M 'I 4/m m m'
_symmetry_Int_Tables_number 139
_symmetry_space_group_name_Hall '-I 4 2'
loop_
_atom_site_label
_atom_site_type_symbol
_atom_site_fract_x
_atom_site_fract_y
_atom_site_fract_z
Ca1 Ca 0.000 0.000 0.000
Mn1 Mn 0.000 0.500 0.250
Pb1 Pb 0.000 0.000 0.500

---

# Sb3Se2 | Alexandria via LeMat-Bulk | PBE | optimized geometry
# Energy above the lowest structure with this stoichiometry: 0.0 meV/atom
data_Sb3Se2
_cell_length_a 4.1685
_cell_length_b 4.1685
_cell_length_c 28.1809
_cell_angle_alpha 90.00
_cell_angle_beta 90.00
_cell_angle_gamma 120.00
_symmetry_space_group_name_H-M 'R -3 m'
_symmetry_Int_Tables_number 166
_symmetry_space_group_name_Hall '-R 3 2"'
loop_
_atom_site_label
_atom_site_type_symbol
_atom_site_fract_x
_atom_site_fract_y
_atom_site_fract_z
Sb1 Sb 0.0000 0.0000 0.0000
Sb2 Sb 0.0000 0.0000 0.1956
Se1 Se 0.0000 0.0000 0.3916

---

# U2Ni4Ge3Rh | Alexandria via LeMat-Bulk | PBE | optimized geometry
# DFT total energy: -7.06 eV/atom
data_U2Ni4Ge3Rh
_cell_length_a 3.818
_cell_length_b 3.818
_cell_length_c 10.830
_cell_angle_alpha 90.00
_cell_angle_beta 90.00
_cell_angle_gamma 90.00
_symmetry_space_group_name_H-M 'P -4 m 2'
_symmetry_Int_Tables_number 115
loop_
_symmetry_equiv_pos_as_xyz
'x,y,z'
'y,-x,-z'
'-x,-y,z'
'-y,x,-z'
'-x,y,z'
'-y,-x,-z'
'x,-y,z'
'y,x,-z'
loop_
_atom_site_label
_atom_site_type_symbol
_atom_site_fract_x
_atom_site_fract_y
_atom_site_fract_z
U1 U 0.000 0.500 0.242
Ni1 Ni 0.000 0.000 0.500
Ni2 Ni 0.000 0.500 0.842
Ni3 Ni 0.500 0.500 0.500
Ge1 Ge 0.000 0.000 0.000
Ge2 Ge 0.000 0.500 0.626
Rh1 Rh 0.500 0.500 0.000

---

# NaLa2CoCu | Alexandria via LeMat-Bulk | PBE | optimized geometry
# DFT total energy: -4.40 eV/atom
data_NaLa2CoCu
_cell_length_a 5.231
_cell_length_b 5.231
_cell_length_c 4.884
_cell_angle_alpha 90.00
_cell_angle_beta 90.00
_cell_angle_gamma 90.00
_symmetry_space_group_name_H-M 'P 4/m m m'
_symmetry_Int_Tables_number 123
_symmetry_space_group_name_Hall '-P 4 2'
loop_
_atom_site_label
_atom_site_type_symbol
_atom_site_fract_x
_atom_site_fract_y
_atom_site_fract_z
Na1 Na 0.000 0.000 0.000
La1 La 0.000 0.500 0.500
Co1 Co 0.500 0.500 0.500
Cu1 Cu 0.500 0.500 0.000

---

# MgCdPd | Alexandria via LeMat-Bulk | PBE | optimized geometry
# Energy above the lowest structure with this stoichiometry: 12.6 meV/atom
data_MgCdPd
_cell_length_a 3.324
_cell_length_b 3.324
_cell_length_c 9.828
_cell_angle_alpha 90.00
_cell_angle_beta 90.00
_cell_angle_gamma 90.00
_symmetry_space_group_name_H-M 'I 4 m m'
_symmetry_Int_Tables_number 107
_symmetry_space_group_name_Hall 'I 4 -2'
loop_
_atom_site_label
_atom_site_type_symbol
_atom_site_fract_x
_atom_site_fract_y
_atom_site_fract_z
Mg1 Mg 0.000 0.000 0.000
Cd1 Cd 0.000 0.000 0.691
Pd1 Pd 0.000 0.000 0.362

---

# DySiN | Alexandria via LeMat-Bulk | PBE | optimized geometry
# DFT total energy: -6.93 eV/atom
data_DySiN
_cell_length_a 3.463
_cell_length_b 3.463
_cell_length_c 17.289
_cell_angle_alpha 90.00
_cell_angle_beta 90.00
_cell_angle_gamma 90.00
_symmetry_space_group_name_H-M 'I 4/m m m'
_symmetry_Int_Tables_number 139
_symmetry_space_group_name_Hall '-I 4 2'
loop_
_atom_site_label
_atom_site_type_symbol
_atom_site_fract_x
_atom_site_fract_y
_atom_site_fract_z
Dy1 Dy 0.000 0.000 0.178
Si1 Si 0.000 0.000 0.421
N1 N 0.000 0.000 0.314